Entry from Alexandria via LeMat-Bulk: a relaxed structure of HgP2HO (GGA-PBE).

## Properties
E_tot: -2.2080 eV per atom
Space group: No. 123

Cell: 5.1031 5.1031 4.2000 Å, 90.00 90.00 90.00°
Last column: nearest neighbours and their distance in Å.
Fractional coordinates of all 5 atoms:
P 0.0000 0.5000 0.0000  2 Hg 2.55
Hg 0.0000 0.0000 0.0000  2 O 2.10
H 0.5000 0.5000 0.5000  8 P 3.30, 4 O 3.61
P 0.5000 0.0000 0.0000  2 Hg 2.55
O 0.0000 0.0000 0.5000  2 Hg 2.10